{"formula": "CeCr2GaO6", "functional": "GGA+U", "state": "relaxed", "magmom_total_mub_per_atom": 0.70, "energy_ev_per_atom": -7.584, "lattice": [[-3.688, 0.746, 3.801], [-3.423, -3.906, 1.258], [0.704, -2.615, 4.875]], "species": ["Ce", "Cr", "Cr", "Ga", "O", "O", "O", "O", "O", "O"], "frac_coords": [[0.790, 0.789, 0.627], [0.518, 0.523, 0.439], [0.012, 0.013, 0.965], [0.313, 0.312, 0.062], [0.614, 0.242, 0.227], [0.244, 0.918, 0.225], [0.921, 0.616, 0.224], [0.360, 0.727, 0.747], [0.726, 0.167, 0.747], [0.164, 0.356, 0.753]]}